Below is a relaxed ZrGaCu crystal, with properties calculated at the GGA-PBE level.

Cell: 9.606 3.890 5.389 Å, 90.00 90.45 90.00°
Positions (direct):
Zr: 0.000 0.000 0.000
Zr: 0.102 0.500 0.516
Zr: 0.500 0.500 0.000
Zr: 0.602 0.000 0.516
Ga: 0.203 0.500 0.030
Ga: 0.307 0.000 0.748
Ga: 0.703 0.000 0.030
Ga: 0.807 0.500 0.748
Cu: 0.302 0.000 0.257
Cu: 0.402 0.500 0.492
Cu: 0.802 0.500 0.257
Cu: 0.902 0.000 0.492

Density (Mg/m³): 7.404
Electronic total energy (eV per atom): -5.588
Formation energy (eV per atom): -0.3644